a | The following is a PBE-GGA calculation of a geometry-optimized GdTl2Sn structure, from Alexandria.

total magnetic moment: 1.84 μB per atom
space-group type: R-3m (166)
DOS(E_F): 0.7128 states/eV/atom

a = 3.582 Å, b = 3.582 Å, c = 31.140 Å
α = 90.00°, β = 90.00°, γ = 120.00°
Sites, in units of the cell vectors:
Gd: 0.000 0.000 0.000
Gd: 0.333 0.667 0.667
Gd: 0.667 0.333 0.333
Tl: 0.000 0.000 0.249
Tl: 0.000 0.000 0.751
Tl: 0.333 0.667 0.418
Tl: 0.333 0.667 0.916
Tl: 0.667 0.333 0.084
Tl: 0.667 0.333 0.582
Sn: 0.000 0.000 0.500
Sn: 0.333 0.667 0.167
Sn: 0.667 0.333 0.833

b | The following is a PBE-GGA calculation of a geometry-optimized GdTl2Sn structure, from Alexandria.

total magnetic moment: 1.73 μB per atom
space-group type: P4/mmm (123)
DOS(E_F): 0.5483 states/eV/atom

a = 4.653 Å, b = 4.653 Å, c = 5.028 Å
α = 90.00°, β = 90.00°, γ = 90.00°
Sites, in units of the cell vectors:
Gd: 0.000 0.000 0.000
Tl: 0.000 0.500 0.500
Tl: 0.500 0.000 0.500
Sn: 0.500 0.500 0.000

Relative stability in meV/atom, measured from the most stable structure: a 271; b 0

a | The following is a PBE-GGA calculation of a geometry-optimized GdTlSn2 structure, from Alexandria.

total magnetic moment: 1.74 μB per atom
space-group type: P4/mmm (123)
DOS(E_F): 0.5373 states/eV/atom

a = 4.699 Å, b = 4.699 Å, c = 4.837 Å
α = 90.00°, β = 90.00°, γ = 90.00°
Sites, in units of the cell vectors:
Gd: 0.000 0.000 0.000
Tl: 0.500 0.500 0.000
Sn: 0.000 0.500 0.500
Sn: 0.500 0.000 0.500

b | The following is a PBE-GGA calculation of a geometry-optimized GdTlSn2 structure, from Alexandria.

total magnetic moment: 1.79 μB per atom
space-group type: R-3m (166)
DOS(E_F): 1.0521 states/eV/atom

a = 5.088 Å, b = 5.088 Å, c = 23.794 Å
α = 90.00°, β = 90.00°, γ = 120.00°
Sites, in units of the cell vectors:
Gd: 0.000 0.000 0.000
Gd: 0.333 0.667 0.667
Gd: 0.667 0.333 0.333
Tl: 0.000 0.000 0.500
Tl: 0.333 0.667 0.167
Tl: 0.667 0.333 0.833
Sn: 0.000 0.000 0.377
Sn: 0.000 0.000 0.623
Sn: 0.333 0.667 0.044
Sn: 0.333 0.667 0.289
Sn: 0.667 0.333 0.711
Sn: 0.667 0.333 0.956

c | The following is a PBE-GGA calculation of a geometry-optimized GdTlSn2 structure, from Alexandria.

total magnetic moment: 1.80 μB per atom
space-group type: P4/mmm (123)
DOS(E_F): 0.6588 states/eV/atom

a = 4.179 Å, b = 4.179 Å, c = 6.440 Å
α = 90.00°, β = 90.00°, γ = 90.00°
Sites, in units of the cell vectors:
Gd: 0.000 0.000 0.000
Tl: 0.000 0.000 0.500
Sn: 0.500 0.500 0.236
Sn: 0.500 0.500 0.764

Relative stability in meV/atom, measured from the most stable structure: a 0; b 616; c 107

a | The following is a PBE-GGA calculation of a geometry-optimized Gd2TlSn structure, from Alexandria.

total magnetic moment: 3.56 μB per atom
space-group type: R-3m (166)
DOS(E_F): 0.9484 states/eV/atom

a = 3.845 Å, b = 3.845 Å, c = 28.004 Å
α = 90.00°, β = 90.00°, γ = 120.00°
Sites, in units of the cell vectors:
Gd: 0.000 0.000 0.248
Gd: 0.000 0.000 0.752
Gd: 0.333 0.667 0.419
Gd: 0.333 0.667 0.915
Gd: 0.667 0.333 0.085
Gd: 0.667 0.333 0.581
Tl: 0.000 0.000 0.000
Tl: 0.333 0.667 0.667
Tl: 0.667 0.333 0.333
Sn: 0.000 0.000 0.500
Sn: 0.333 0.667 0.167
Sn: 0.667 0.333 0.833

b | The following is a PBE-GGA calculation of a geometry-optimized Gd2TlSn structure, from Alexandria.

total magnetic moment: 3.62 μB per atom
space-group type: Fm-3m (225)
DOS(E_F): 1.0709 states/eV/atom

a = 7.642 Å, b = 7.642 Å, c = 7.642 Å
α = 90.00°, β = 90.00°, γ = 90.00°
Sites, in units of the cell vectors:
Gd: 0.250 0.250 0.250
Gd: 0.250 0.250 0.750
Gd: 0.250 0.750 0.250
Gd: 0.250 0.750 0.750
Gd: 0.750 0.250 0.250
Gd: 0.750 0.250 0.750
Gd: 0.750 0.750 0.250
Gd: 0.750 0.750 0.750
Tl: 0.000 0.000 0.000
Tl: 0.000 0.500 0.500
Tl: 0.500 0.000 0.500
Tl: 0.500 0.500 0.000
Sn: 0.000 0.000 0.500
Sn: 0.000 0.500 0.000
Sn: 0.500 0.000 0.000
Sn: 0.500 0.500 0.500

c | The following is a PBE-GGA calculation of a geometry-optimized Gd2TlSn structure, from Alexandria.

total magnetic moment: 3.70 μB per atom
space-group type: P4/mmm (123)
DOS(E_F): 0.9189 states/eV/atom

a = 4.003 Å, b = 4.003 Å, c = 6.953 Å
α = 90.00°, β = 90.00°, γ = 90.00°
Sites, in units of the cell vectors:
Gd: 0.000 0.000 0.241
Gd: 0.000 0.000 0.759
Tl: 0.500 0.500 0.500
Sn: 0.500 0.500 0.000

Relative stability in meV/atom, measured from the most stable structure: a 128; b 16; c 0

a | The following is a PBE-GGA calculation of a geometry-optimized GdTlSn structure, from Alexandria.

total magnetic moment: 2.32 μB per atom
space-group type: P3m1 (156)
DOS(E_F): 0.7600 states/eV/atom

a = 4.737 Å, b = 4.737 Å, c = 4.443 Å
α = 90.00°, β = 90.00°, γ = 120.00°
Sites, in units of the cell vectors:
Gd: 0.000 0.000 0.000
Tl: 0.333 0.667 0.653
Sn: 0.667 0.333 0.374

b | The following is a PBE-GGA calculation of a geometry-optimized GdTlSn structure, from Alexandria.

total magnetic moment: 2.56 μB per atom
space-group type: I4mm (107)
DOS(E_F): 0.9738 states/eV/atom

a = 3.821 Å, b = 3.821 Å, c = 11.366 Å
α = 90.00°, β = 90.00°, γ = 90.00°
Sites, in units of the cell vectors:
Gd: 0.000 0.000 0.000
Gd: 0.500 0.500 0.500
Tl: 0.000 0.000 0.321
Tl: 0.500 0.500 0.821
Sn: 0.000 0.000 0.675
Sn: 0.500 0.500 0.175

Relative stability in meV/atom, measured from the most stable structure: a 0; b 65